Here is an optimized crystal structure of MgPaBiSb from Alexandria. Energies are from PBE.

Cell lengths 5.3342, 5.3342, 5.3342 Å; angles 60.00, 60.00, 60.00 degrees
Last column: nearest neighbours and their distance in Å.
Sites, in units of the cell vectors:
Mg 0.0000 0.0000 0.0000  4 Sb 3.27, 4 Bi 3.27
Pa 0.5000 0.5000 0.5000  4 Sb 3.27, 4 Bi 3.27
Bi 0.2500 0.2500 0.2500  4 Pa 3.27, 4 Mg 3.27
Sb 0.7500 0.7500 0.7500  4 Mg 3.27, 4 Pa 3.27

Properties
Formation energy without anion corrections: -0.106 eV per atom
D(E_F): 4.54 states/eV per cell
Magnetic moment: 0.00 μB per formula unit